(1)
Computed, not measured: an optimized crystal structure of LiIn2Cl at the PBE level of DFT.

ΔE to the lowest computed polymorph   323 meV per atom

Unit cell a=5.549 b=5.549 c=3.419 alpha=90.00 beta=90.00 gamma=111.22
Sites, in units of the cell vectors:
Cl (0.000, 0.500, 0.500)
In (0.000, 0.000, 0.000)
In (0.500, 0.500, 0.000)
Li (0.500, 0.000, 0.500)

***

(2)
Computed, not measured: an optimized crystal structure of LiIn2Cl at the PBE level of DFT.

ΔE to the lowest computed polymorph   418 meV per atom

Unit cell a=8.351 b=8.351 c=6.632 alpha=50.98 beta=50.98 gamma=90.00
Sites, in units of the cell vectors:
Cl (0.000, 0.000, 0.000)
Cl (0.750, 0.250, 0.500)
Li (0.500, 0.500, 0.000)
Li (0.250, 0.750, 0.500)
In (0.616, 0.125, 0.250)
In (0.134, 0.625, 0.250)
In (0.375, 0.384, 0.750)
In (0.875, 0.866, 0.750)

***

(3)
Computed, not measured: an optimized crystal structure of LiIn2Cl at the PBE level of DFT.

ΔE to the lowest computed polymorph   347 meV per atom

Unit cell a=5.445 b=5.445 c=3.273 alpha=90.00 beta=90.00 gamma=90.00
Sites, in units of the cell vectors:
Cl (0.000, 0.500, 0.500)
In (0.000, 0.000, 0.000)
In (0.500, 0.500, 0.000)
Li (0.500, 0.000, 0.500)

***

(4)
Computed, not measured: an optimized crystal structure of LiIn3Cl4 at the PBE level of DFT.

Unit cell a=6.063 b=6.595 c=11.745 alpha=90.00 beta=90.00 gamma=90.00
Sites, in units of the cell vectors:
Li (0.001, 0.042, 0.000)
Li (0.501, 0.958, 0.500)
In (0.560, 0.613, 0.000)
In (0.069, 0.742, 0.275)
In (0.569, 0.258, 0.225)
In (0.060, 0.387, 0.500)
In (0.569, 0.258, 0.775)
In (0.069, 0.742, 0.725)
Cl (0.075, 0.688, 0.000)
Cl (0.597, 0.043, 0.000)
Cl (0.072, 0.151, 0.192)
Cl (0.572, 0.849, 0.308)
Cl (0.097, 0.957, 0.500)
Cl (0.575, 0.312, 0.500)
Cl (0.572, 0.849, 0.692)
Cl (0.072, 0.151, 0.808)

***

(5)
Computed, not measured: an optimized crystal structure of Li3InCl6 at the PBE level of DFT.

ΔE to the lowest computed polymorph   28 meV per atom

Unit cell a=6.586 b=6.548 c=10.037 alpha=90.22 beta=90.00 gamma=90.00
Sites, in units of the cell vectors:
Li (0.027, 0.513, 0.229)
Li (0.500, 0.500, 0.000)
Li (0.973, 0.487, 0.771)
Li (0.473, 0.013, 0.729)
Li (0.000, 0.000, 0.500)
Li (0.527, 0.987, 0.271)
In (0.500, 0.500, 0.500)
In (0.000, 0.000, 0.000)
Cl (0.820, 0.336, 0.057)
Cl (0.820, 0.340, 0.408)
Cl (0.604, 0.366, 0.732)
Cl (0.396, 0.634, 0.268)
Cl (0.180, 0.660, 0.592)
Cl (0.180, 0.664, 0.943)
Cl (0.680, 0.836, 0.557)
Cl (0.680, 0.840, 0.908)
Cl (0.896, 0.866, 0.232)
Cl (0.104, 0.134, 0.768)
Cl (0.320, 0.160, 0.092)
Cl (0.320, 0.164, 0.443)

***

(6)
Computed, not measured: an optimized crystal structure of LiMgInCl6 at the PBE level of DFT.

Unit cell a=6.428 b=6.428 c=11.862 alpha=90.00 beta=90.00 gamma=120.00
Sites, in units of the cell vectors:
Li (0.000, 0.000, 0.000)
Li (0.000, 0.000, 0.500)
Mg (0.333, 0.667, 0.250)
Mg (0.667, 0.333, 0.750)
In (0.667, 0.333, 0.250)
In (0.333, 0.667, 0.750)
Cl (0.651, 0.655, 0.130)
Cl (0.004, 0.349, 0.130)
Cl (0.349, 0.004, 0.630)
Cl (0.996, 0.651, 0.870)
Cl (0.345, 0.349, 0.370)
Cl (0.004, 0.655, 0.370)
Cl (0.655, 0.004, 0.870)
Cl (0.651, 0.996, 0.370)
Cl (0.996, 0.345, 0.630)
Cl (0.345, 0.996, 0.130)
Cl (0.655, 0.651, 0.630)
Cl (0.349, 0.345, 0.870)

***

(7)
Computed, not measured: an optimized crystal structure of LiMnInCl4 at the PBE level of DFT.

Unit cell a=6.309 b=7.761 c=8.546 alpha=90.00 beta=102.93 gamma=90.00
Each line ends with the local moment (μB).
Sites, in units of the cell vectors:
Li (0.708, 0.750, 0.315)  0.00
Li (0.292, 0.250, 0.685)  0.00
Mn (0.214, 0.750, 0.319)  4.34
Mn (0.786, 0.250, 0.681)  4.34
In (0.801, 0.750, 0.880)  0.01
In (0.199, 0.250, 0.120)  0.01
Cl (0.043, 0.478, 0.723)  0.05
Cl (0.957, 0.978, 0.277)  0.05
Cl (0.957, 0.522, 0.277)  0.05
Cl (0.043, 0.022, 0.723)  0.05
Cl (0.389, 0.750, 0.102)  0.06
Cl (0.611, 0.250, 0.898)  0.06
Cl (0.523, 0.750, 0.532)  0.04
Cl (0.477, 0.250, 0.468)  0.04

***

(8)
Computed, not measured: an optimized crystal structure of LiMnIn2Cl5 at the PBE level of DFT.

Unit cell a=3.885 b=9.130 c=13.922 alpha=90.00 beta=90.00 gamma=102.28
Each line ends with the local moment (μB).
Sites, in units of the cell vectors:
Li (0.563, 0.126, 0.943)  0.00
Li (0.437, 0.874, 0.443)  0.00
Mn (0.789, 0.578, 0.524)  4.44
Mn (0.211, 0.422, 0.024)  4.44
In (0.868, 0.735, 0.812)  0.00
In (0.095, 0.191, 0.662)  0.00
In (0.132, 0.265, 0.312)  0.00
In (0.905, 0.809, 0.162)  0.00
Cl (0.350, 0.700, 0.998)  0.03
Cl (0.694, 0.387, 0.902)  0.06
Cl (0.500, 0.999, 0.796)  0.00
Cl (0.278, 0.556, 0.645)  0.06
Cl (0.935, 0.869, 0.542)  0.03
Cl (0.650, 0.300, 0.498)  0.03
Cl (0.306, 0.613, 0.402)  0.06
Cl (0.500, 0.001, 0.296)  0.00
Cl (0.722, 0.444, 0.145)  0.06
Cl (0.065, 0.131, 0.042)  0.03

***

(9)
Computed, not measured: an optimized crystal structure of LiMnInCl6 at the PBE level of DFT.

Unit cell a=6.117 b=6.117 c=11.320 alpha=90.00 beta=90.00 gamma=90.00
Each line ends with the local moment (μB).
Sites, in units of the cell vectors:
Li (0.500, 0.500, 0.167)  0.00
Li (0.000, 0.000, 0.667)  0.00
Mn (0.500, 0.500, 0.497)  4.42
Mn (0.000, 0.000, 0.997)  4.42
In (0.500, 0.500, 0.835)  0.03
In (0.000, 0.000, 0.335)  0.03
Cl (0.198, 0.802, 0.500)  0.03
Cl (0.802, 0.198, 0.500)  0.03
Cl (0.302, 0.302, 0.000)  0.03
Cl (0.698, 0.698, 0.000)  0.03
Cl (0.193, 0.807, 0.165)  0.03
Cl (0.807, 0.193, 0.165)  0.03
Cl (0.307, 0.307, 0.665)  0.03
Cl (0.693, 0.693, 0.665)  0.03
Cl (0.803, 0.197, 0.835)  0.03
Cl (0.197, 0.803, 0.835)  0.03
Cl (0.697, 0.697, 0.335)  0.03
Cl (0.303, 0.303, 0.335)  0.03

***

(10)
Computed, not measured: an optimized crystal structure of NaLiIn2Cl8 at the PBE level of DFT.

Unit cell a=7.746 b=7.746 c=7.746 alpha=107.33 beta=107.33 gamma=113.85
Sites, in units of the cell vectors:
Na (0.250, 0.750, 0.500)
Li (0.000, 0.000, 0.000)
In (0.750, 0.250, 0.500)
In (0.500, 0.500, 0.000)
Cl (0.368, 0.070, 0.298)
Cl (0.315, 0.511, 0.196)
Cl (0.315, 0.118, 0.804)
Cl (0.772, 0.070, 0.702)
Cl (0.882, 0.685, 0.196)
Cl (0.930, 0.228, 0.298)
Cl (0.930, 0.632, 0.702)
Cl (0.489, 0.685, 0.804)

***

(11)
Computed, not measured: an optimized crystal structure of Na2LiInCl6 at the PBE level of DFT.

ΔE to the lowest computed polymorph   123 meV per atom

Unit cell a=7.129 b=7.129 c=7.129 alpha=60.00 beta=60.00 gamma=60.00
Sites, in units of the cell vectors:
Na (0.750, 0.750, 0.750)
Na (0.250, 0.250, 0.250)
Li (0.500, 0.500, 0.500)
In (0.000, 0.000, 0.000)
Cl (0.250, 0.750, 0.250)
Cl (0.750, 0.250, 0.250)
Cl (0.750, 0.250, 0.750)
Cl (0.250, 0.250, 0.750)
Cl (0.750, 0.750, 0.250)
Cl (0.250, 0.750, 0.750)

***

(12)
Computed, not measured: an optimized crystal structure of NaLiIn2Cl4 at the PBE level of DFT.

Unit cell a=6.984 b=6.945 c=7.556 alpha=123.75 beta=125.56 gamma=82.94
Sites, in units of the cell vectors:
Na (0.006, 0.478, 0.980)
Li (0.727, 0.733, 0.458)
In (0.572, 0.033, 0.097)
In (0.268, 0.305, 0.570)
Cl (0.643, 0.492, 0.555)
Cl (0.709, 0.421, 0.074)
Cl (0.373, 0.875, 0.297)
Cl (0.090, 0.050, 0.743)

***

(13)
Computed, not measured: an optimized crystal structure of Na2LiInCl6 at the PBE level of DFT.

ΔE to the lowest computed polymorph   0 meV per atom

Unit cell a=6.683 b=6.683 c=7.827 alpha=64.72 beta=64.72 gamma=60.00
Sites, in units of the cell vectors:
Na (0.519, 0.518, 0.445)
Na (0.018, 0.018, 0.947)
Li (0.694, 0.694, 0.918)
In (0.342, 0.342, 0.973)
Cl (0.589, 0.297, 0.169)
Cl (0.297, 0.944, 0.170)
Cl (0.944, 0.589, 0.169)
Cl (0.438, 0.717, 0.741)
Cl (0.717, 0.104, 0.741)
Cl (0.104, 0.438, 0.741)

***

(14)
Computed, not measured: an optimized crystal structure of LiNb3InCl9 at the PBE level of DFT.

ΔE to the lowest computed polymorph   197 meV per atom

Unit cell a=9.965 b=9.408 c=8.643 alpha=98.90 beta=92.89 gamma=89.02
Each line ends with the local moment (μB).
Sites, in units of the cell vectors:
Li (0.631, 0.532, 0.218)  0.00
Li (0.369, 0.468, 0.782)  0.00
Nb (0.040, 0.987, 0.224)  0.23
Nb (0.960, 0.013, 0.776)  0.23
Nb (0.875, 0.084, 0.479)  -0.07
Nb (0.507, 0.639, 0.553)  0.63
Nb (0.125, 0.916, 0.521)  -0.07
Nb (0.493, 0.361, 0.447)  0.63
In (0.392, 0.877, 0.048)  0.01
In (0.608, 0.123, 0.952)  0.01
Cl (0.963, 0.240, 0.299)  0.00
Cl (0.646, 0.135, 0.349)  0.00
Cl (0.264, 0.051, 0.353)  0.00
Cl (0.845, 0.254, 0.868)  0.00
Cl (0.084, 0.169, 0.634)  0.00
Cl (0.710, 0.491, 0.485)  0.00
Cl (0.541, 0.749, 0.313)  0.00
Cl (0.354, 0.865, 0.651)  0.00
Cl (0.145, 0.084, 0.987)  0.00
Cl (0.037, 0.760, 0.701)  0.00
Cl (0.459, 0.251, 0.687)  0.00
Cl (0.543, 0.628, 0.843)  0.01
Cl (0.855, 0.916, 0.013)  0.00
Cl (0.155, 0.746, 0.132)  0.00
Cl (0.916, 0.831, 0.366)  0.00
Cl (0.290, 0.509, 0.515)  0.00
Cl (0.736, 0.949, 0.647)  0.00
Cl (0.457, 0.372, 0.157)  0.01

***

(15)
Computed, not measured: an optimized crystal structure of LiNb3InCl9 at the PBE level of DFT.

ΔE to the lowest computed polymorph   0 meV per atom

Unit cell a=9.437 b=9.501 c=9.547 alpha=119.08 beta=104.52 gamma=97.73
Sites, in units of the cell vectors:
Li (0.616, 0.046, 0.190)
Li (0.384, 0.954, 0.810)
Nb (0.141, 0.574, 0.245)
Nb (0.859, 0.426, 0.755)
Nb (0.130, 0.346, 0.893)
Nb (0.858, 0.301, 0.983)
Nb (0.870, 0.654, 0.107)
Nb (0.142, 0.699, 0.017)
In (0.353, 0.267, 0.505)
In (0.647, 0.733, 0.495)
Cl (0.001, 0.648, 0.733)
Cl (0.681, 0.595, 0.836)
Cl (0.332, 0.958, 0.049)
Cl (0.984, 0.084, 0.853)
Cl (0.012, 0.765, 0.413)
Cl (0.667, 0.328, 0.444)
Cl (0.320, 0.555, 0.896)
Cl (0.319, 0.405, 0.164)
Cl (0.296, 0.156, 0.754)
Cl (0.999, 0.352, 0.267)
Cl (0.680, 0.445, 0.104)
Cl (0.667, 0.174, 0.689)
Cl (0.704, 0.844, 0.246)
Cl (0.016, 0.916, 0.147)
Cl (0.988, 0.235, 0.587)
Cl (0.333, 0.672, 0.556)
Cl (0.668, 0.042, 0.951)
Cl (0.333, 0.826, 0.311)

***

(16)
Computed, not measured: an optimized crystal structure of LiNbInCl6 at the PBE level of DFT.

Unit cell a=6.605 b=6.605 c=13.589 alpha=90.00 beta=90.00 gamma=120.00
Each line ends with the local moment (μB).
Sites, in units of the cell vectors:
Li (0.333, 0.667, 0.250)  0.00
Li (0.667, 0.333, 0.750)  0.00
Nb (0.667, 0.333, 0.250)  0.87
Nb (0.333, 0.667, 0.750)  0.87
In (0.000, 0.000, 0.000)  0.00
In (0.000, 0.000, 0.500)  0.00
Cl (0.634, 0.618, 0.146)  -0.01
Cl (0.983, 0.366, 0.146)  -0.01
Cl (0.366, 0.983, 0.646)  -0.01
Cl (0.017, 0.634, 0.854)  -0.01
Cl (0.382, 0.366, 0.354)  -0.01
Cl (0.983, 0.618, 0.354)  -0.01
Cl (0.618, 0.983, 0.854)  -0.01
Cl (0.634, 0.017, 0.354)  -0.01
Cl (0.017, 0.382, 0.646)  -0.01
Cl (0.382, 0.017, 0.146)  -0.01
Cl (0.618, 0.634, 0.646)  -0.01
Cl (0.366, 0.382, 0.854)  -0.01

***

(17)
Computed, not measured: an optimized crystal structure of LiNpIn2Cl6 at the PBE level of DFT.

Unit cell a=7.531 b=7.362 c=7.471 alpha=119.52 beta=121.64 gamma=90.00
Each line ends with the local moment (μB).
Sites, in units of the cell vectors:
Li (0.500, 0.000, 0.000)  0.00
Np (0.000, 0.500, 0.000)  3.95
In (0.232, 0.260, 0.519)  0.00
In (0.768, 0.740, 0.481)  0.00
Cl (0.340, 0.756, 0.513)  -0.02
Cl (0.205, 0.196, 0.899)  -0.01
Cl (0.795, 0.298, 0.101)  -0.01
Cl (0.205, 0.702, 0.899)  -0.01
Cl (0.795, 0.804, 0.101)  -0.01
Cl (0.660, 0.244, 0.487)  -0.02

***

(18)
Computed, not measured: an optimized crystal structure of LiNpInCl6 at the PBE level of DFT.

Unit cell a=6.801 b=6.801 c=13.975 alpha=90.00 beta=90.00 gamma=120.00
Each line ends with the local moment (μB).
Sites, in units of the cell vectors:
Li (0.333, 0.667, 0.250)  0.00
Li (0.667, 0.333, 0.750)  0.00
Np (0.667, 0.333, 0.250)  3.15
Np (0.333, 0.667, 0.750)  3.15
In (0.000, 0.000, 0.000)  -0.01
In (0.000, 0.000, 0.500)  -0.01
Cl (0.634, 0.634, 0.144)  -0.03
Cl (0.000, 0.366, 0.144)  -0.03
Cl (0.366, 0.000, 0.644)  -0.03
Cl (0.000, 0.634, 0.856)  -0.03
Cl (0.366, 0.366, 0.356)  -0.03
Cl (0.000, 0.634, 0.356)  -0.03
Cl (0.634, 0.000, 0.856)  -0.03
Cl (0.634, 0.000, 0.356)  -0.03
Cl (0.000, 0.366, 0.644)  -0.03
Cl (0.366, 0.000, 0.144)  -0.03
Cl (0.634, 0.634, 0.644)  -0.03
Cl (0.366, 0.366, 0.856)  -0.03

***

(19)
Computed, not measured: an optimized crystal structure of LiInClO at the PBE level of DFT.

Unit cell a=3.471 b=3.471 c=13.479 alpha=82.60 beta=82.60 gamma=60.00
Sites, in units of the cell vectors:
Li (0.761, 0.761, 0.716)
Li (0.239, 0.239, 0.284)
In (0.000, 0.000, 0.000)
In (0.500, 0.500, 0.500)
Cl (0.606, 0.606, 0.183)
Cl (0.394, 0.394, 0.817)
O (0.193, 0.193, 0.421)
O (0.807, 0.807, 0.579)

***

Per-record formation energy without anion corrections, eV/atom: -0.38, -0.29, -0.36, -1.04, -1.48, -1.49, -1.19, -1.12, -1.22, -1.25, -1.41, -1.28, -1.53, -1.10, -1.29, -1.27, -1.36, -1.52, -1.40